Entry 1:
Crystalline Be2WO at its relaxed geometry. Source: the Alexandria database, functional GGA+U.

Cell lengths 5.036, 5.036, 4.968 Å; angles 59.55, 59.55, 90.00 degrees
Fractional positions:
Be: 0.481 0.125 0.250
Be: 0.269 0.625 0.250
Be: 0.375 0.519 0.750
Be: 0.875 0.731 0.750
O: 0.500 0.500 0.000
O: 0.250 0.750 0.500
W: 0.000 0.000 0.000
W: 0.750 0.250 0.500

energy: -5.0687 eV per atom
symmetry: No. 122
D(E_F): 2.27 states/eV/cell

***

Entry 2:
Crystalline BeWO2 at its relaxed geometry. Source: the Alexandria database, functional GGA+U.

Cell lengths 6.191, 6.191, 6.191 Å; angles 27.03, 27.03, 27.03 degrees
Site moments in Bohr magnetons follow the coordinates.
Fractional positions:
Be: 0.000 0.000 0.000  0.06
O: 0.917 0.917 0.917  -0.01
O: 0.083 0.083 0.083  -0.01
W: 0.500 0.500 0.500  0.88

energy: -6.2289 eV per atom
symmetry: No. 166
D(E_F): 1.09 states/eV/cell

***

Entry 3:
Crystalline BeWO4 at its relaxed geometry. Source: the Alexandria database, functional GGA+U.

Cell lengths 5.589, 5.589, 5.599 Å; angles 119.95, 119.95, 90.00 degrees
Fractional positions:
Be: 0.750 0.250 0.500
W: 0.500 0.500 0.000
O: 0.624 0.895 0.263
O: 0.639 0.368 0.263
O: 0.105 0.361 0.737
O: 0.632 0.376 0.737

energy: -7.3207 eV per atom
symmetry: No. 82
D(E_F): 0.00 states/eV/cell